First-principles (meta-GGA SCAN) data for CoSbCl2 at its PBEsol-relaxed geometry, as listed in the Alexandria database.

## Properties
energy above the most stable polymorph in this dataset	265	meV/atom

Cell: 3.2642 3.2642 26.6894 Å, 90.00 90.00 120.00°
Closest atoms and distances in Å follow each position.
Space group R-3m (No. 166, hexagonal axes)
Unique sites:
Co 0.0000 0.0000 0.0000 [3 per cell]  2 Cl 2.09
Sb 0.0000 0.0000 0.5000 [3 per cell]  6 Cl 3.02, 6 Sb 3.26
Cl 0.0000 0.0000 0.0785 [6 per cell]  1 Co 2.09

=====

First-principles (meta-GGA SCAN) data for CaSnB3 at its PBEsol-relaxed geometry, as listed in the Alexandria database.

## Properties
formation energy	1.6079	eV/atom

Cell: 4.4881 4.4881 4.4881 Å, 90.00 90.00 90.00°
Closest atoms and distances in Å follow each position.
Space group Pm-3m (No. 221)
Unique sites:
Ca 0.0000 0.0000 0.0000 [1 per cell]  12 B 3.17
Sn 0.5000 0.5000 0.5000 [1 per cell]  6 B 2.24
B 0.0000 0.5000 0.5000 [3 per cell]  2 Sn 2.24

=====

First-principles (meta-GGA SCAN) data for ZnMo at its PBEsol-relaxed geometry, as listed in the Alexandria database.

## Properties
formation energy	0.3044	eV/atom
energy above the most stable polymorph in this dataset	277	meV/atom

Cell: 2.5982 10.3451 4.4277 Å, 90.00 90.00 90.00°
Closest atoms and distances in Å follow each position.
Space group Cmcm (No. 63)
Unique sites:
Zn 0.0000 0.1739 0.2500 [4 per cell]  2 Zn 2.60, 7 Mo 2.70-2.80
Mo 0.0000 0.4349 0.2500 [4 per cell]  4 Mo 2.59-2.60, 7 Zn 2.70-2.80

=====

First-principles (meta-GGA SCAN) data for CaCdTc2 at its PBEsol-relaxed geometry, as listed in the Alexandria database.

## Properties
formation energy	0.0975	eV/atom

Cell: 3.0864 3.0864 7.8395 Å, 90.00 90.00 90.00°
Closest atoms and distances in Å follow each position.
Space group P4mm (No. 99)
Unique sites:
Ca 0.0000 0.0000 0.0000 [1 per cell]  5 Tc 3.08-3.43, 4 Ca 3.09, 4 Cd 3.29
Cd 0.5000 0.5000 0.3143 [1 per cell]  5 Tc 2.92-3.20, 4 Cd 3.09
Tc 0.0000 0.0000 0.5621 [1 per cell]  4 Tc 2.52
Tc 0.5000 0.5000 0.7229 [1 per cell]  4 Tc 2.52

=====

First-principles (meta-GGA SCAN) data for BeAlCl2 at its PBEsol-relaxed geometry, as listed in the Alexandria database.

## Properties
energy above the most stable polymorph in this dataset	662	meV/atom

Cell: 3.6567 3.6567 11.6146 Å, 90.00 90.00 90.00°
Closest atoms and distances in Å follow each position.
Space group I-4m2 (No. 119)
Unique sites:
Be 0.0000 0.0000 0.0000 [2 per cell]  4 Cl 2.59
Al 0.0000 0.5000 0.7500 [2 per cell]  4 Cl 2.59
Cl 0.0000 0.0000 0.5000 [2 per cell]  4 Be 2.59
Cl 0.0000 0.5000 0.2500 [2 per cell]  4 Al 2.59

=====

First-principles (meta-GGA SCAN) data for MgCd2Cu at its PBEsol-relaxed geometry, as listed in the Alexandria database.

## Properties
formation energy	-0.0170	eV/atom

Cell: 4.1427 4.1427 8.1804 Å, 90.00 90.00 90.00°
Closest atoms and distances in Å follow each position.
Space group I-4m2 (No. 119)
Unique sites:
Mg 0.0000 0.0000 0.0000 [2 per cell]  8 Cd 2.91-2.93, 4 Cu 2.91
Cd 0.0000 0.0000 0.5000 [2 per cell]  4 Cd 2.91, 4 Cu 2.91, 4 Mg 2.93
Cd 0.0000 0.5000 0.2500 [2 per cell]  4 Cd 2.91, 4 Mg 2.91, 4 Cu 2.93
Cu 0.0000 0.5000 0.7500 [2 per cell]  8 Cd 2.91-2.93, 4 Mg 2.91